A plane-wave DFT calculation with PBE-GGA was carried out for a geometry-optimized YCrHg2 structure.

Output
* symmetry: No. 225
* E above lowest polymorph: 0.00 eV/f.u.

Unit cell a=5.0126 b=5.0126 c=5.0126 alpha=60.00 beta=60.00 gamma=60.00
Last column: nearest neighbours and their distance in Å.
Fractional positions:
Y 0.5000 0.5000 0.5000  8 Hg 3.07
Hg 0.2500 0.2500 0.2500  4 Y 3.07, 4 Cr 3.07
Cr 0.0000 0.0000 0.0000  8 Hg 3.07
Hg 0.7500 0.7500 0.7500  4 Cr 3.07, 4 Y 3.07